(1)
GaSn3S at its PBEsol-relaxed geometry. Source: the Alexandria database, functional SCAN.

Results
Energy relative to the elements, uncorrected (eV per atom): 0.50
Mass density (g/cm3): 5.27
M_tot (μB/atom): 0.000

Cell: 5.2458 5.2458 5.2458 Å, 90.00 90.00 90.00°
With the nearest neighbours (Å) after each atom.
Sites, in units of the cell vectors:
Ga (0.0000, 0.0000, 0.0000)  12 Sn 3.71
Sn (0.0000, 0.5000, 0.5000)  2 S 2.62
Sn (0.5000, 0.0000, 0.5000)  2 S 2.62
Sn (0.5000, 0.5000, 0.0000)  2 S 2.62
S (0.5000, 0.5000, 0.5000)  6 Sn 2.62



(2)
Ga2SnS at its PBEsol-relaxed geometry. Source: the Alexandria database, functional SCAN.

Results
Energy relative to the elements, uncorrected (eV per atom): 0.28
Mass density (g/cm3): 6.08
M_tot (μB/atom): 0.000

Cell: 4.8225 4.8225 4.8225 Å, 60.00 60.00 60.00°
With the nearest neighbours (Å) after each atom.
Sites, in units of the cell vectors:
Ga (0.2500, 0.2500, 0.2500)  4 S 2.95, 4 Sn 2.95
Ga (0.7500, 0.7500, 0.7500)  4 S 2.95, 4 Sn 2.95
Sn (0.0000, 0.0000, 0.0000)  8 Ga 2.95
S (0.5000, 0.5000, 0.5000)  8 Ga 2.95



(3)
Ga2Sn2S5 at its PBEsol-relaxed geometry. Source: the Alexandria database, functional SCAN.

Results
Energy relative to the elements, uncorrected (eV per atom): -0.64
Mass density (g/cm3): 4.36
M_tot (μB/atom): 0.000

Cell: 12.2930 6.1886 10.7525 Å, 90.00 90.00 90.00°
With the nearest neighbours (Å) after each atom.
Sites, in units of the cell vectors:
Ga (0.1794, 0.1407, 0.0000)  4 S 2.25-2.29
Ga (0.2329, 0.6343, 0.8301)  4 S 2.26-2.30
Ga (0.2671, 0.1343, 0.3301)  4 S 2.26-2.30
Ga (0.3206, 0.6407, 0.5000)  4 S 2.25-2.29
Ga (0.6794, 0.3593, 0.0000)  4 S 2.25-2.29
Ga (0.7329, 0.8657, 0.8301)  4 S 2.26-2.30
Ga (0.7671, 0.3657, 0.3301)  4 S 2.26-2.30
Ga (0.8206, 0.8593, 0.5000)  4 S 2.25-2.29
Sn (0.0195, 0.4452, 0.4763)  3 S 2.64-2.75
Sn (0.0487, 0.0489, 0.6944)  3 S 2.64-2.77
Sn (0.4513, 0.5489, 0.1944)  3 S 2.64-2.77
Sn (0.4805, 0.9452, 0.9763)  3 S 2.64-2.75
Sn (0.5195, 0.0548, 0.4763)  3 S 2.64-2.75
Sn (0.5487, 0.4511, 0.6944)  3 S 2.64-2.77
Sn (0.9513, 0.9511, 0.1944)  3 S 2.64-2.77
Sn (0.9805, 0.5548, 0.9763)  3 S 2.64-2.75
S (0.0005, 0.1344, 0.9407)  1 Ga 2.29
S (0.9995, 0.8656, 0.4407)  1 Ga 2.29
S (0.0592, 0.6335, 0.7504)  1 Ga 2.30
S (0.1699, 0.9545, 0.1830)  2 Ga 2.27-2.28
S (0.2131, 0.4865, 0.3507)  2 Ga 2.29
S (0.2251, 0.4906, 0.0236)  2 Ga 2.25-2.26
S (0.2749, 0.9906, 0.5236)  2 Ga 2.25-2.26
S (0.2869, 0.9865, 0.8507)  2 Ga 2.29
S (0.3301, 0.4545, 0.6830)  2 Ga 2.27-2.28
S (0.4408, 0.1335, 0.2504)  1 Ga 2.30
S (0.5005, 0.3656, 0.9407)  1 Ga 2.29
S (0.4995, 0.6344, 0.4407)  1 Ga 2.29
S (0.5592, 0.8665, 0.7504)  1 Ga 2.30
S (0.6699, 0.5455, 0.1830)  2 Ga 2.27-2.28
S (0.7131, 0.0135, 0.3507)  2 Ga 2.29
S (0.7251, 0.0094, 0.0236)  2 Ga 2.25-2.26
S (0.7749, 0.5094, 0.5236)  2 Ga 2.25-2.26
S (0.7869, 0.5135, 0.8507)  2 Ga 2.29
S (0.8301, 0.0455, 0.6830)  2 Ga 2.27-2.28
S (0.9408, 0.3665, 0.2504)  1 Ga 2.30